Computed, not measured: ZrMoPt after structural relaxation at the PBE-GGA level of DFT.

Unit cell a=5.835 b=4.222 c=8.681 alpha=90.00 beta=99.28 gamma=90.00
Positions (direct):
1 Pt 0.162 0.000 0.857
2 Zr 0.655 0.000 0.862
3 Mo 0.499 0.000 0.528
4 Mo 0.499 0.500 0.028
5 Pt 0.162 0.500 0.357
6 Zr 0.022 0.500 0.037
7 Zr 0.655 0.500 0.362
8 Pt 0.853 0.500 0.704
9 Zr 0.022 0.000 0.537
10 Mo 0.357 0.500 0.685
11 Pt 0.853 0.000 0.204
12 Mo 0.357 0.000 0.185

## Properties
For the mass density, the calculation gives 12.0 g/cm³. The calculated total energy comes out at -26.71 eV/f.u. For the formation energy, the calculation gives -41 kJ per mole of atoms. The value obtained for the relative energy among the computed polymorphs is 92 meV/atom.


Computed, not measured: La2Sc3Sn4 after structural relaxation at the PBE-GGA level of DFT.

Unit cell a=7.919 b=8.077 c=8.098 alpha=90.00 beta=90.00 gamma=110.05
Positions (direct):
1 Sn 0.855 0.088 0.546
2 La 0.940 0.809 0.827
3 Sn 0.639 0.501 0.636
4 Sn 0.645 0.912 0.046
5 Sn 0.355 0.088 0.954
6 Sn 0.361 0.499 0.364
7 Sn 0.861 0.499 0.136
8 Sn 0.139 0.501 0.864
9 Sc 0.248 0.252 0.662
10 Sn 0.145 0.912 0.454
11 Sc 0.748 0.252 0.838
12 La 0.560 0.191 0.327
13 Sc 0.752 0.748 0.338
14 La 0.440 0.809 0.673
15 La 0.060 0.191 0.173
16 Sc 0.252 0.748 0.162
17 Sc 0.500 0.500 0.000
18 Sc 0.000 0.500 0.500

## Properties
For the mass density, the calculation gives 6.1 g/cm³. The calculated total energy comes out at -51.89 eV/f.u. For the formation energy, the calculation gives -75 kJ per mole of atoms. The value obtained for the relative energy among the computed polymorphs is 0 meV/atom.


Computed, not measured: Pm3Ru2Cl after structural relaxation at the PBE-GGA level of DFT.

Unit cell a=3.431 b=3.431 c=11.673 alpha=90.00 beta=90.00 gamma=90.00
Positions (direct):
1 Pm 0.000 0.000 0.000
2 Cl 0.500 0.500 0.500
3 Ru 0.500 0.500 0.840
4 Pm 0.000 0.000 0.302
5 Pm 0.000 0.000 0.698
6 Ru 0.500 0.500 0.160

## Properties
For the mass density, the calculation gives 8.1 g/cm³. The raw formation energy is -0.651 eV per atom. The calculated total energy comes out at -38.55 eV/f.u.


Computed, not measured: TeRuS2 after structural relaxation at the PBE-GGA level of DFT.

Unit cell a=9.031 b=9.031 c=9.031 alpha=20.37 beta=20.37 gamma=20.37
Positions (direct):
1 S 0.917 0.917 0.917
2 Te 0.500 0.500 0.500
3 Ru 0.000 0.000 0.000
4 S 0.083 0.083 0.083

## Properties
For the mass density, the calculation gives 6.2 g/cm³. The raw formation energy is 0.642 eV per atom. The calculated total energy comes out at -18.11 eV/f.u.


Computed, not measured: BaCrCdGe2 after structural relaxation at the PBE-GGA level of DFT.

Unit cell a=4.769 b=4.769 c=5.230 alpha=90.00 beta=90.00 gamma=90.00
Last column: magnetic moment on the atom in μB.
Positions (direct):
1 Ba 0.500 0.500 0.500  -0.02
2 Ge 0.000 0.500 0.000  -0.03
3 Ge 0.500 0.000 0.000  -0.03
4 Cr 0.000 0.000 0.000  0.41
5 Cd 0.000 0.000 0.500  0.00

## Properties
For the mass density, the calculation gives 6.2 g/cm³. The calculated total energy comes out at -22.45 eV/f.u. For the formation energy, the calculation gives -15 kJ per mole of atoms.


Computed, not measured: PPtPb2 after structural relaxation at the PBE-GGA level of DFT.

Unit cell a=7.145 b=7.145 c=7.145 alpha=32.68 beta=32.68 gamma=32.68
Positions (direct):
1 Pt 0.500 0.500 0.500
2 Pb 0.751 0.751 0.751
3 P 0.000 0.000 0.000
4 Pb 0.249 0.249 0.249

## Properties
For the mass density, the calculation gives 11.2 g/cm³. The calculated total energy comes out at -18.54 eV/f.u. For the formation energy, the calculation gives 8 kJ per mole of atoms.


Computed, not measured: NdHo2TmTh after structural relaxation at the PBE-GGA level of DFT.

Unit cell a=5.615 b=8.669 c=7.061 alpha=90.02 beta=90.00 gamma=90.00
Positions (direct):
1 Ho 0.500 0.322 0.500
2 Tm 0.000 0.500 0.750
3 Tm 0.000 0.500 0.250
4 Nd 0.000 0.000 0.000
5 Nd 0.000 0.000 0.500
6 Th 0.500 0.000 0.750
7 Ho 0.500 0.678 0.000
8 Ho 0.500 0.678 0.500
9 Ho 0.500 0.322 0.000
10 Th 0.500 0.000 0.250

## Properties
For the mass density, the calculation gives 8.5 g/cm³. The calculated total energy comes out at -24.16 eV/f.u. For the formation energy, the calculation gives 32 kJ per mole of atoms.


Computed, not measured: CeHfAu after structural relaxation at the PBE-GGA level of DFT.

Unit cell a=4.814 b=4.814 c=7.723 alpha=71.84 beta=71.84 gamma=60.00
Last column: magnetic moment on the atom in μB.
Positions (direct):
1 Hf 0.705 0.705 0.886  0.46
2 Au 0.578 0.578 0.266  0.03
3 Ce 0.138 0.138 0.585  0.47
4 Ce 0.862 0.862 0.415  0.47
5 Au 0.422 0.422 0.734  0.03
6 Hf 0.295 0.295 0.114  0.46

## Properties
For the mass density, the calculation gives 11.8 g/cm³. The calculated total energy comes out at -19.63 eV/f.u. For the formation energy, the calculation gives -15 kJ per mole of atoms. The value obtained for the relative energy among the computed polymorphs is 177 meV/atom.


Computed, not measured: SrTl2Si2 after structural relaxation at the PBE-GGA level of DFT.

Unit cell a=4.635 b=4.635 c=7.141 alpha=71.06 beta=71.06 gamma=90.00
Positions (direct):
1 Tl 0.750 0.250 0.500
2 Si 0.590 0.590 0.820
3 Tl 0.250 0.750 0.500
4 Sr 0.000 0.000 0.000
5 Si 0.410 0.410 0.180

## Properties
For the mass density, the calculation gives 6.7 g/cm³. The raw formation energy is 0.011 eV per atom. The calculated total energy comes out at -17.21 eV/f.u. The value obtained for the relative energy among the computed polymorphs is 0 meV/atom.


Computed, not measured: Rb3Y3ScTe8 after structural relaxation at the PBE-GGA level of DFT.

Unit cell a=8.725 b=8.725 c=10.207 alpha=115.29 beta=90.00 gamma=120.02
Positions (direct):
1 Te 0.774 0.547 0.305
2 Te 0.774 0.031 0.305
3 Te 0.734 0.468 0.702
4 Te 0.742 0.969 0.695
5 Te 0.226 0.969 0.695
6 Rb 0.000 0.500 0.000
7 Sc 0.000 0.000 0.500
8 Te 0.266 0.532 0.298
9 Rb 0.000 0.000 0.000
10 Y 0.500 0.000 0.500
11 Y 0.500 0.500 0.500
12 Y 0.000 0.500 0.500
13 Te 0.226 0.453 0.695
14 Te 0.258 0.031 0.305
15 Rb 0.500 0.500 0.000

## Properties
For the mass density, the calculation gives 4.5 g/cm³. The raw formation energy is -1.293 eV per atom. The calculated total energy comes out at -73.15 eV/f.u.


Computed, not measured: Sm2ErIn2Ag2 after structural relaxation at the PBE-GGA level of DFT.

Unit cell a=4.844 b=4.844 c=9.456 alpha=75.16 beta=75.16 gamma=60.00
Positions (direct):
1 Sm 0.125 0.125 0.624
2 Ag 0.609 0.609 0.173
3 Sm 0.875 0.875 0.376
4 In 0.737 0.737 0.790
5 In 0.263 0.263 0.210
6 Ag 0.391 0.391 0.827
7 Er 0.000 0.000 0.000

## Properties
For the mass density, the calculation gives 8.3 g/cm³. The calculated total energy comes out at -27.16 eV/f.u. For the formation energy, the calculation gives -27 kJ per mole of atoms.


Computed, not measured: LaPm2In2Hg2 after structural relaxation at the PBE-GGA level of DFT.

Unit cell a=4.999 b=4.999 c=9.729 alpha=75.11 beta=75.11 gamma=60.00
Positions (direct):
1 Hg 0.577 0.577 0.270
2 Pm 0.868 0.868 0.396
3 La 0.000 0.000 0.000
4 Pm 0.132 0.132 0.604
5 Hg 0.423 0.423 0.730
6 In 0.734 0.734 0.798
7 In 0.266 0.266 0.202

## Properties
For the mass density, the calculation gives 8.8 g/cm³. The calculated total energy comes out at -22.90 eV/f.u. For the formation energy, the calculation gives -33 kJ per mole of atoms.


Repeat the eleventh record exactly.
Computed, not measured: Sm2ErIn2Ag2 after structural relaxation at the PBE-GGA level of DFT.

Unit cell a=4.844 b=4.844 c=9.456 alpha=75.16 beta=75.16 gamma=60.00
Positions (direct):
1 Sm 0.125 0.125 0.624
2 Ag 0.609 0.609 0.173
3 Sm 0.875 0.875 0.376
4 In 0.737 0.737 0.790
5 In 0.263 0.263 0.210
6 Ag 0.391 0.391 0.827
7 Er 0.000 0.000 0.000

## Properties
For the mass density, the calculation gives 8.3 g/cm³. The calculated total energy comes out at -27.16 eV/f.u. For the formation energy, the calculation gives -27 kJ per mole of atoms.